Entry from Alexandria: a relaxed MnCr2Te4 crystal (PBE). Values from VASP.

```
&SYSTEM
  ibrav = 0, nat = 14, ntyp = 3
/
ATOMIC_SPECIES
Mn 54.94 Mn.upf
Cr 52.00 Cr.upf
Te 127.60 Te.upf
CELL_PARAMETERS angstrom
1.9468 -6.5181 0.0000
1.9468 6.5181 0.0000
0.0000 0.0000 13.5450
ATOMIC_POSITIONS crystal
Mn 0.1164 0.8836 0.7500
Mn 0.8836 0.1164 0.2500
Cr 0.3672 0.6328 0.5695
Cr 0.3672 0.6328 0.9305
Cr 0.6328 0.3672 0.0695
Cr 0.6328 0.3672 0.4305
Te 0.0000 0.0000 0.0000
Te 0.0000 0.0000 0.5000
Te 0.2767 0.7233 0.1157
Te 0.2767 0.7233 0.3843
Te 0.4634 0.5366 0.7500
Te 0.5366 0.4634 0.2500
Te 0.7233 0.2767 0.6157
Te 0.7233 0.2767 0.8843
```

Calculated values
Raw formation energy ... -0.09 eV per atom
Energy above the most stable polymorph in this dataset ... 59.2 meV/atom
Fermi-level density of states ... 0.382 states/eV per atom

Entry from Alexandria: a relaxed MnCrTe4 crystal (PBE). Values from VASP.

```
&SYSTEM
  ibrav = 0, nat = 6, ntyp = 3
/
ATOMIC_SPECIES
Mn 54.94 Mn.upf
Cr 52.00 Cr.upf
Te 127.60 Te.upf
CELL_PARAMETERS angstrom
0.0000 4.4724 4.4724
4.4724 0.0000 4.4724
4.4724 4.4724 0.0000
ATOMIC_POSITIONS crystal
Mn 0.0000 0.0000 0.0000
Cr 0.2500 0.2500 0.2500
Te 0.1248 0.6251 0.6251
Te 0.6251 0.1248 0.6251
Te 0.6251 0.6251 0.1248
Te 0.6251 0.6251 0.6251
```

Calculated values
Raw formation energy ... 0.92 eV per atom
Fermi-level density of states ... 0.597 states/eV per atom

Entry from Alexandria: a relaxed Mn4CrTe crystal (PBE). Values from VASP.

```
&SYSTEM
  ibrav = 0, nat = 6, ntyp = 3
/
ATOMIC_SPECIES
Mn 54.94 Mn.upf
Cr 52.00 Cr.upf
Te 127.60 Te.upf
CELL_PARAMETERS angstrom
0.0000 3.4289 3.4289
3.4289 0.0000 3.4289
3.4289 3.4289 0.0000
ATOMIC_POSITIONS crystal
Mn 0.1253 0.1253 0.1253
Mn 0.1253 0.1253 0.6242
Mn 0.1253 0.6242 0.1253
Mn 0.6242 0.1253 0.1253
Cr 0.7500 0.7500 0.7500
Te 0.5000 0.5000 0.5000
```

Calculated values
Raw formation energy ... 0.39 eV per atom
Fermi-level density of states ... 1.682 states/eV per atom

Entry from Alexandria: a relaxed Mn2CrTe crystal (PBE). Values from VASP.

```
&SYSTEM
  ibrav = 0, nat = 4, ntyp = 3
/
ATOMIC_SPECIES
Mn 54.94 Mn.upf
Cr 52.00 Cr.upf
Te 127.60 Te.upf
CELL_PARAMETERS angstrom
1.5673 0.9049 7.9205
-1.5673 0.9049 7.9205
0.0000 -1.8098 7.9205
ATOMIC_POSITIONS crystal
Mn 0.2392 0.2392 0.2392
Mn 0.7608 0.7608 0.7608
Cr 0.5000 0.5000 0.5000
Te 0.0000 0.0000 0.0000
```

Calculated values
Raw formation energy ... 0.50 eV per atom
Fermi-level density of states ... 1.041 states/eV per atom